A:
Computed, not measured: a relaxed structure of La3BiRu at the GGA-PBE level of DFT.

Computed properties:
As for the space group: Pmmn, No. 59. For the density of states at the Fermi level, the calculation gives 0.82 states/eV/atom. The calculated density is 7.60 Mg/m³. The calculation puts the total magnetic moment at 0.0 μB/f.u.

Geometry as POSCAR:
```
La3BiRu
1.0
4.535 0.000 0.000
0.000 7.067 0.000
0.000 0.000 9.909
La Bi Ru
6 2 2
Cartesian
1.134 0.053 1.430 La
1.134 1.767 5.894 La
1.134 3.480 1.430 La
3.402 3.587 8.479 La
3.402 5.301 4.014 La
3.402 7.014 8.479 La
1.134 5.301 6.379 Bi
3.402 1.767 3.530 Bi
1.134 1.767 8.909 Ru
3.402 5.301 0.999 Ru
```

B:
Computed, not measured: a relaxed structure of La3BiRu at the GGA-PBE level of DFT.

Computed properties:
As for the space group: P4mm, No. 99. For the density of states at the Fermi level, the calculation gives 1.07 states/eV/atom. The calculated density is 6.04 Mg/m³. The calculation puts the total magnetic moment at 0.0 μB/f.u.

Geometry as POSCAR:
```
La3BiRu
1.0
4.881 0.000 0.000
0.000 4.881 0.000
0.000 0.000 8.393
La Bi Ru
3 1 1
Cartesian
0.000 0.000 0.000 La
0.000 2.440 5.399 La
2.440 0.000 5.399 La
0.000 0.000 3.107 Bi
2.440 2.440 6.817 Ru
```

C:
Computed, not measured: a relaxed structure of La3BiRu at the GGA-PBE level of DFT.

Computed properties:
As for the space group: Pm, No. 6. For the density of states at the Fermi level, the calculation gives 0.82 states/eV/atom. The calculated density is 7.68 Mg/m³. The calculation puts the total magnetic moment at 0.0 μB/f.u.

Geometry as POSCAR:
```
La3BiRu
1.0
8.691 0.000 0.000
0.000 4.655 0.000
-4.300 0.000 7.772
La Bi Ru
6 2 2
Cartesian
0.000 0.000 0.000 La
-2.715 2.328 5.433 La
0.136 2.328 3.367 La
0.114 0.000 6.657 La
3.737 0.000 3.288 La
5.922 2.328 1.258 La
2.528 2.328 0.966 Bi
2.637 2.328 5.667 Bi
-1.410 0.000 4.652 Ru
6.758 0.000 2.076 Ru
```

Energies relative to the most stable structure, in eV/atom: A 0.028; B 0.573; C 0.000.

A:
Computed, not measured: a relaxed structure of La2BiS at the GGA-PBE level of DFT.

Computed properties:
As for the space group: R3m, No. 160. For the density of states at the Fermi level, the calculation gives 0.77 states/eV/atom. The calculated density is 6.91 Mg/m³. The calculation puts the total magnetic moment at 0.2 μB/f.u.

Geometry as POSCAR:
```
La2BiS
1.0
2.184 1.261 7.552
-2.184 1.261 7.552
0.000 -2.522 7.552
La Bi S
2 1 1
Cartesian
0.000 0.000 0.000 La
0.000 0.000 4.276 La
0.000 0.000 17.244 Bi
0.000 0.000 13.399 S
```

B:
Computed, not measured: a relaxed structure of La2BiS at the GGA-PBE level of DFT.

Computed properties:
As for the space group: Fm-3m, No. 225. For the density of states at the Fermi level, the calculation gives 0.74 states/eV/atom. The calculated density is 7.56 Mg/m³. The calculation puts the total magnetic moment at 0.0 μB/f.u.

Geometry as POSCAR:
```
La2BiS
1.0
0.000 3.847 3.847
3.847 0.000 3.847
3.847 3.847 0.000
La Bi S
2 1 1
Cartesian
1.924 1.924 1.924 La
5.771 5.771 5.771 La
0.000 0.000 0.000 Bi
3.847 3.847 3.847 S
```

Energies relative to the most stable structure, in eV/atom: A 0.000; B 0.248.

A:
Computed, not measured: a relaxed structure of La2BiS at the GGA-PBE level of DFT.

Computed properties:
As for the space group: R-3m, No. 166. For the density of states at the Fermi level, the calculation gives 0.56 states/eV/atom. The calculated density is 6.98 Mg/m³. The calculation puts the total magnetic moment at 0.0 μB/f.u.

Geometry as POSCAR:
```
La2BiS
1.0
2.213 1.277 7.279
-2.213 1.277 7.279
0.000 -2.555 7.279
La Bi S
2 1 1
Cartesian
0.000 0.000 5.251 La
0.000 0.000 16.585 La
0.000 0.000 0.000 Bi
0.000 0.000 10.918 S
```

B:
Computed, not measured: a relaxed structure of La2BiS at the GGA-PBE level of DFT.

Computed properties:
As for the space group: I-42d, No. 122. For the density of states at the Fermi level, the calculation gives 0.58 states/eV/atom. The calculated density is 5.19 Mg/m³. The calculation puts the total magnetic moment at 1.0 μB/f.u.

Geometry as POSCAR:
```
La2BiS
1.0
-3.437 3.437 7.023
3.437 -3.437 7.023
3.437 3.437 -7.023
La Bi S
4 2 2
Cartesian
5.155 1.416 -1.756 La
1.416 1.718 1.756 La
-1.718 2.021 5.267 La
2.021 1.718 8.779 La
3.437 0.000 3.511 Bi
0.000 0.000 7.023 Bi
0.000 0.000 0.000 S
0.000 3.437 3.511 S
```

Energies relative to the most stable structure, in eV/atom: A 0.000; B 0.461.

A:
Computed, not measured: a relaxed structure of LaBiS3 at the GGA-PBE level of DFT.

Computed properties:
As for the space group: P2_1/c, No. 14. For the density of states at the Fermi level, the calculation gives 0.00 states/eV/atom. The calculated density is 5.23 Mg/m³. The calculation puts the total magnetic moment at 0.0 μB/f.u.

Geometry as POSCAR:
```
LaBiS3
1.0
7.449 0.000 0.000
0.000 7.256 0.000
-0.576 0.000 10.431
La Bi S
4 4 12
Cartesian
0.165 1.694 1.434 La
-0.123 1.935 6.649 La
6.995 5.322 3.782 La
6.707 5.563 8.998 La
2.727 5.136 6.364 Bi
3.015 5.749 1.148 Bi
3.857 1.507 9.283 Bi
4.146 2.121 4.068 Bi
0.688 4.493 1.247 S
0.399 6.392 6.463 S
1.232 0.224 9.883 S
1.520 3.404 4.668 S
1.851 3.679 8.314 S
2.139 7.206 3.098 S
4.733 0.050 7.333 S
5.021 3.578 2.118 S
5.352 3.852 5.764 S
5.640 7.032 0.548 S
6.473 0.865 3.968 S
6.185 2.763 9.184 S
```

B:
Computed, not measured: a relaxed structure of LaBiS3 at the GGA-PBE level of DFT.

Computed properties:
As for the space group: P2_1/m, No. 11. The calculated density is 5.56 Mg/m³. The calculation puts the total magnetic moment at 0.0 μB/f.u.

Geometry as POSCAR:
```
LaBiS3
1.0
8.048 0.000 0.000
0.000 4.075 0.000
-0.350 0.000 8.088
La Bi S
2 2 6
Cartesian
0.892 1.019 2.280 La
6.805 3.056 5.809 La
2.498 3.056 6.733 Bi
5.199 1.019 1.355 Bi
0.651 1.019 7.245 S
1.255 3.056 4.247 S
3.055 3.056 1.419 S
4.642 1.019 6.669 S
6.442 1.019 3.841 S
7.047 3.056 0.843 S
```

C:
Computed, not measured: a relaxed structure of LaBiS3 at the GGA-PBE level of DFT.

Computed properties:
As for the space group: Pm-3m, No. 221. For the density of states at the Fermi level, the calculation gives 1.88 states/eV/atom. The calculated density is 4.60 Mg/m³. The calculation puts the total magnetic moment at 0.0 μB/f.u.

Geometry as POSCAR:
```
LaBiS3
1.0
5.433 0.000 0.000
0.000 5.433 0.000
0.000 0.000 5.433
La Bi S
1 1 3
Cartesian
0.000 0.000 0.000 La
2.717 2.717 2.717 Bi
0.000 0.000 2.717 S
0.000 2.717 0.000 S
2.717 0.000 0.000 S
```

D:
Computed, not measured: a relaxed structure of LaBiS3 at the GGA-PBE level of DFT.

Computed properties:
As for the space group: Pm-3m, No. 221. For the density of states at the Fermi level, the calculation gives 0.01 states/eV/atom. The calculated density is 5.24 Mg/m³. The calculation puts the total magnetic moment at 0.0 μB/f.u.

Geometry as POSCAR:
```
LaBiS3
1.0
5.200 0.000 0.000
0.000 5.200 0.000
0.000 0.000 5.200
La Bi S
1 1 3
Cartesian
0.000 0.000 0.000 La
2.600 2.600 2.600 Bi
0.000 2.600 2.600 S
2.600 0.000 2.600 S
2.600 2.600 0.000 S
```

Energies relative to the most stable structure, in eV/atom: A 0.041; B 0.000; C 0.954; D 0.613.

A:
Computed, not measured: a relaxed structure of La2BiS4 at the GGA-PBE level of DFT.

Computed properties:
As for the space group: I4/mmm, No. 139. For the density of states at the Fermi level, the calculation gives 0.43 states/eV/atom. The calculated density is 4.98 Mg/m³. The calculation puts the total magnetic moment at 0.7 μB/f.u.

Geometry as POSCAR:
```
La2BiS4
1.0
-2.651 2.651 7.294
2.651 -2.651 7.294
2.651 2.651 -7.294
La Bi S
2 1 4
Cartesian
0.000 0.000 1.863 La
0.000 0.000 12.725 La
0.000 0.000 7.294 Bi
2.651 0.000 0.000 S
0.000 0.000 4.532 S
0.000 2.651 0.000 S
0.000 0.000 10.057 S
```

B:
Computed, not measured: a relaxed structure of La2BiS4 at the GGA-PBE level of DFT.

Computed properties:
As for the space group: C2/m, No. 12. For the density of states at the Fermi level, the calculation gives 0.19 states/eV/atom. The calculated density is 5.02 Mg/m³. The calculation puts the total magnetic moment at 0.0 μB/f.u.

Geometry as POSCAR:
```
La2BiS4
1.0
7.059 -2.228 0.000
7.059 2.228 0.000
-3.507 0.000 6.474
La Bi S
2 1 4
Cartesian
2.316 0.000 1.363 La
8.295 0.000 5.112 La
5.306 0.000 3.237 Bi
0.204 0.000 3.321 S
5.085 0.000 0.420 S
5.527 0.000 6.055 S
10.408 0.000 3.154 S
```

Energies relative to the most stable structure, in eV/atom: A 0.344; B 0.000.

A:
Computed, not measured: a relaxed structure of LaTaBiS2 at the GGA-PBE level of DFT.

Computed properties:
As for the space group: P4/mmm, No. 123. For the density of states at the Fermi level, the calculation gives 1.16 states/eV/atom. The calculated density is 5.89 Mg/m³. The calculation puts the total magnetic moment at 2.2 μB/f.u.

Geometry as POSCAR:
```
LaTaBiS2
1.0
5.313 0.000 0.000
0.000 5.313 0.000
0.000 0.000 5.922
La Ta Bi S
1 1 1 2
Cartesian
0.000 0.000 0.000 La
0.000 0.000 2.961 Ta
2.656 2.656 2.961 Bi
0.000 2.656 0.000 S
2.656 0.000 0.000 S
```

B:
Computed, not measured: a relaxed structure of LaTaBiS2 at the GGA-PBE level of DFT.

Computed properties:
As for the space group: P4/mmm, No. 123. For the density of states at the Fermi level, the calculation gives 1.51 states/eV/atom. The calculated density is 5.81 Mg/m³. The calculation puts the total magnetic moment at 3.3 μB/f.u.

Geometry as POSCAR:
```
LaTaBiS2
1.0
5.255 0.000 0.000
0.000 5.255 0.000
0.000 0.000 6.136
La Ta Bi S
1 1 1 2
Cartesian
0.000 0.000 0.000 La
2.627 2.627 0.000 Ta
0.000 0.000 3.068 Bi
0.000 2.627 3.068 S
2.627 0.000 3.068 S
```

Energies relative to the most stable structure, in eV/atom: A 0.000; B 0.353.